# La2NiSn4Rh3 (GGA-PBE, relaxed)
# - DOS at the Fermi energy: 8.52 states/eV/cell
# - Formation enthalpy at 0 K: -0.693 eV per atom
# - Density: 8.406 g cm⁻³
data_La2NiSn4Rh3
_chemical_formula_sum 'La2 Ni1 Sn4 Rh3'
_space_group_name_H-M_alt 'P -4 m 2'
_space_group_IT_number 115
_space_group_name_Hall 'P -4 -2'
_cell_length_a 4.617
_cell_length_b 4.617
_cell_length_c 10.378
_cell_angle_alpha 90.00
_cell_angle_beta 90.00
_cell_angle_gamma 90.00
loop_
_atom_site_label
_atom_site_type_symbol
_atom_site_fract_x
_atom_site_fract_y
_atom_site_fract_z
_atom_site_occupancy
La1 La 0.000 0.500 0.243 1
Ni1 Ni 0.500 0.500 0.000 1
Sn1 Sn 0.000 0.000 0.500 1
Sn2 Sn 0.000 0.500 0.881 1
Sn3 Sn 0.500 0.500 0.500 1
Rh1 Rh 0.000 0.000 0.000 1
Rh2 Rh 0.000 0.500 0.630 1